1.
Entry from Alexandria via LeMat-Bulk: a geometry-optimized AsS2Br structure (GGA-PBE).

Mass density = 3.7 g/cm³
Magnetic moment = 0.0 μB/f.u.
Energy relative to the elements, uncorrected = 0.09 eV/atom
ΔE to the lowest computed polymorph = 0 meV per atom
Crystal system = trigonal

Unit cell a=7.9410 b=7.9410 c=7.9410 alpha=28.17 beta=28.17 gamma=28.17
With the nearest neighbours (Å) after each atom.
Sites, in units of the cell vectors:
S 0.1072 0.1072 0.1072  1 Br 2.45, 3 As 2.61
S 0.8928 0.8928 0.8928  1 Br 2.45, 3 As 2.61
Br 0.0000 0.0000 0.0000  2 S 2.45
As 0.5000 0.5000 0.5000  6 S 2.61

=====

2.
Entry from Alexandria via LeMat-Bulk: a geometry-optimized AsSBr3 structure (GGA-PBE).

Mass density = 2.8 g/cm³
Magnetic moment = 0.0 μB/f.u.
Energy relative to the elements, uncorrected = -0.21 eV/atom
ΔE to the lowest computed polymorph = 0 meV per atom
Crystal system = monoclinic

Unit cell a=7.2553 b=7.4033 c=8.5839 alpha=90.00 beta=90.00 gamma=64.12
With the nearest neighbours (Å) after each atom.
Sites, in units of the cell vectors:
S 0.4672 0.9304 0.5524  1 Br 2.19, 1 As 2.27
S 0.0935 0.0352 0.0524  1 Br 2.19, 1 As 2.27
As 0.7081 0.0491 0.5524  1 S 2.27, 2 Br 2.40
As 0.8525 0.9168 0.0524  1 S 2.27, 2 Br 2.40
Br 0.3963 0.7769 0.0524  1 S 2.19
Br 0.1643 0.1886 0.5524  1 S 2.19
Br 0.9706 0.6776 0.8438  1 As 2.40
Br 0.9706 0.6776 0.2610  1 As 2.40
Br 0.5899 0.2881 0.3438  1 As 2.40
Br 0.5899 0.2881 0.7610  1 As 2.40

=====

3.
Entry from Alexandria via LeMat-Bulk: a geometry-optimized AsSBr3 structure (GGA-PBE).

Mass density = 3.8 g/cm³
Magnetic moment = 2.1 μB/f.u.
Energy relative to the elements, uncorrected = 0.39 eV/atom
ΔE to the lowest computed polymorph = 594 meV per atom
Crystal system = cubic

Unit cell a=5.3113 b=5.3113 c=5.3113 alpha=90.00 beta=90.00 gamma=90.00
With the nearest neighbours (Å) after each atom.
Sites, in units of the cell vectors:
Br 0.0000 0.5000 0.0000  2 As 2.66
Br 0.0000 0.0000 0.5000  2 As 2.66
Br 0.5000 0.0000 0.0000  2 As 2.66
S 0.5000 0.5000 0.5000  12 Br 3.76
As 0.0000 0.0000 0.0000  6 Br 2.66

=====

4.
Entry from Alexandria via LeMat-Bulk: a geometry-optimized AsSBr3 structure (GGA-PBE).

Mass density = 4.1 g/cm³
Magnetic moment = 2.1 μB/f.u.
Energy relative to the elements, uncorrected = 0.62 eV/atom
ΔE to the lowest computed polymorph = 826 meV per atom
Crystal system = cubic

Unit cell a=5.1944 b=5.1944 c=5.1944 alpha=90.00 beta=90.00 gamma=90.00
With the nearest neighbours (Å) after each atom.
Sites, in units of the cell vectors:
S 0.0000 0.0000 0.0000  6 Br 2.60
As 0.5000 0.5000 0.5000  12 Br 3.67
Br 0.0000 0.5000 0.0000  2 S 2.60
Br 0.0000 0.0000 0.5000  2 S 2.60
Br 0.5000 0.0000 0.0000  2 S 2.60

=====

5.
Entry from Alexandria via LeMat-Bulk: a geometry-optimized As2SBr structure (GGA-PBE).

Mass density = 4.3 g/cm³
Magnetic moment = 0.0 μB/f.u.
Energy relative to the elements, uncorrected = 0.26 eV/atom
ΔE to the lowest computed polymorph = 0 meV per atom
Crystal system = tetragonal

Unit cell a=4.9299 b=4.9299 c=9.0356 alpha=74.17 beta=74.17 gamma=90.00
With the nearest neighbours (Å) after each atom.
Sites, in units of the cell vectors:
Br 0.7500 0.2500 0.5000  4 As 3.00
Br 0.0000 0.0000 0.0000  4 As 3.00
S 0.5000 0.5000 0.0000  4 As 2.52
S 0.2500 0.7500 0.5000  4 As 2.52
As 0.5154 0.1250 0.2500  2 S 2.52
As 0.2346 0.6250 0.2500  2 S 2.52
As 0.8750 0.7654 0.7500  2 S 2.52
As 0.3750 0.4846 0.7500  2 S 2.52

=====

6.
Entry from Alexandria via LeMat-Bulk: a geometry-optimized AsS6Br2 structure (GGA-PBE).

Mass density = 2.8 g/cm³
Magnetic moment = 0.0 μB/f.u.
Energy relative to the elements, uncorrected = 0.03 eV/atom
Crystal system = triclinic

Unit cell a=4.5810 b=7.7192 c=7.9180 alpha=112.72 beta=88.60 gamma=94.02
With the nearest neighbours (Å) after each atom.
Sites, in units of the cell vectors:
S 0.9343 0.5226 0.2683  2 S 2.06-2.12
S 0.0657 0.4774 0.7317  2 S 2.06-2.12
S 0.0998 0.7471 0.4931  2 S 2.06-2.10
S 0.8603 0.7019 0.7034  2 S 2.10-2.12
S 0.1397 0.2981 0.2966  2 S 2.10-2.12
S 0.9002 0.2529 0.5069  2 S 2.06-2.10
Br 0.4214 0.1375 0.8550  1 As 2.59
Br 0.5786 0.8625 0.1450  1 As 2.59
As 0.0000 0.0000 0.0000  2 Br 2.59, 2 S 2.63

=====

7.
Entry from Alexandria via LeMat-Bulk: a geometry-optimized AsS2Br structure (GGA-PBE).

Mass density = 3.7 g/cm³
Magnetic moment = 0.0 μB/f.u.
Energy relative to the elements, uncorrected = 0.30 eV/atom
ΔE to the lowest computed polymorph = 211 meV per atom
Crystal system = tetragonal

Unit cell a=7.0343 b=7.0343 c=6.3455 alpha=56.34 beta=56.34 gamma=90.00
With the nearest neighbours (Å) after each atom.
Sites, in units of the cell vectors:
Br 0.0000 0.0000 0.0000  4 S 3.03
Br 0.7500 0.2500 0.5000  4 S 3.03
S 0.1964 0.6250 0.2500  2 As 2.38
S 0.8750 0.8036 0.7500  2 As 2.38
S 0.3750 0.4464 0.7500  2 As 2.38
S 0.5536 0.1250 0.2500  2 As 2.38
As 0.2500 0.7500 0.5000  4 S 2.38
As 0.5000 0.5000 0.0000  4 S 2.38

=====

8.
Entry from Alexandria via LeMat-Bulk: a geometry-optimized As3SBr structure (GGA-PBE).

Mass density = 4.8 g/cm³
Magnetic moment = 0.0 μB/f.u.
Energy relative to the elements, uncorrected = 0.79 eV/atom
ΔE to the lowest computed polymorph = 0 meV per atom
Crystal system = cubic

Unit cell a=4.8945 b=4.8945 c=4.8945 alpha=90.00 beta=90.00 gamma=90.00
With the nearest neighbours (Å) after each atom.
Sites, in units of the cell vectors:
Br 0.5000 0.5000 0.5000  12 As 3.46
As 0.0000 0.0000 0.5000  2 S 2.45
As 0.0000 0.5000 0.0000  2 S 2.45
As 0.5000 0.0000 0.0000  2 S 2.45
S 0.0000 0.0000 0.0000  6 As 2.45

=====

9.
Entry from Alexandria via LeMat-Bulk: a geometry-optimized AsS2Br structure (GGA-PBE).

Mass density = 4.8 g/cm³
Magnetic moment = 0.0 μB/f.u.
Energy relative to the elements, uncorrected = 0.80 eV/atom
ΔE to the lowest computed polymorph = 703 meV per atom
Crystal system = cubic

Unit cell a=4.7354 b=4.7354 c=4.7354 alpha=60.00 beta=60.00 gamma=60.00
With the nearest neighbours (Å) after each atom.
Sites, in units of the cell vectors:
S 0.2500 0.2500 0.2500  4 As 2.90, 4 Br 2.90
S 0.7500 0.7500 0.7500  4 As 2.90, 4 Br 2.90
As 0.0000 0.0000 0.0000  8 S 2.90
Br 0.5000 0.5000 0.5000  8 S 2.90

=====

10.
Entry from Alexandria via LeMat-Bulk: a geometry-optimized AsSBr structure (GGA-PBE).

Mass density = 2.7 g/cm³
Magnetic moment = 0.0 μB/f.u.
Energy relative to the elements, uncorrected = -0.17 eV/atom
Crystal system = triclinic

Unit cell a=7.9351 b=5.9334 c=8.2130 alpha=52.69 beta=64.60 gamma=48.74
With the nearest neighbours (Å) after each atom.
Sites, in units of the cell vectors:
As 0.1505 0.5265 0.8663  1 S 2.25, 1 Br 2.43
As 0.8451 0.4703 0.1382  1 S 2.25, 1 Br 2.43
S 0.1011 0.0716 0.3785  1 S 2.11, 1 As 2.25
S 0.8944 0.9252 0.6260  1 S 2.11, 1 As 2.25
Br 0.3195 0.0100 0.8606  1 As 2.43
Br 0.6760 0.9867 0.1439  1 As 2.43

=====

11.
Entry from Alexandria via LeMat-Bulk: a geometry-optimized AsSBr2 structure (GGA-PBE).

Mass density = 4.7 g/cm³
Magnetic moment = 0.0 μB/f.u.
Energy relative to the elements, uncorrected = 0.68 eV/atom
ΔE to the lowest computed polymorph = 881 meV per atom
Crystal system = trigonal

Unit cell a=9.8038 b=9.8038 c=9.8038 alpha=19.82 beta=19.82 gamma=19.82
With the nearest neighbours (Å) after each atom.
Sites, in units of the cell vectors:
Br 0.9123 0.9123 0.9123  1 As 2.53
Br 0.0877 0.0877 0.0877  1 As 2.53
As 0.0000 0.0000 0.0000  2 Br 2.53
S 0.5000 0.5000 0.5000  6 Br 3.00

=====

12.
Entry from Alexandria via LeMat-Bulk: a geometry-optimized AsSBr2 structure (GGA-PBE).

Mass density = 2.4 g/cm³
Magnetic moment = 0.0 μB/f.u.
Energy relative to the elements, uncorrected = -0.20 eV/atom
ΔE to the lowest computed polymorph = 0 meV per atom
Crystal system = triclinic

Unit cell a=7.0253 b=6.9739 c=15.6093 alpha=89.01 beta=88.92 gamma=101.15
With the nearest neighbours (Å) after each atom.
Sites, in units of the cell vectors:
As 0.5026 0.7595 0.2078  2 S 2.08-2.20
As 0.0262 0.7378 0.2842  2 Br 2.37-2.38, 1 S 2.40
As 0.4974 0.2405 0.7922  2 S 2.08-2.20
As 0.9738 0.2622 0.7158  2 Br 2.37-2.38, 1 S 2.40
Br 0.3576 0.4491 0.8818  1 As 2.37
Br 0.6424 0.5509 0.1182  1 As 2.37
Br 0.1484 0.5082 0.6215  1 As 2.38
Br 0.3188 0.9146 0.1104  1 As 2.39
Br 0.6812 0.0854 0.8896  1 As 2.39
Br 0.1522 0.9898 0.3798  1 As 2.37
Br 0.8478 0.0102 0.6202  1 As 2.37
Br 0.8516 0.4918 0.3785  1 As 2.38
S 0.7170 0.4441 0.7160  2 As 2.20-2.40
S 0.2884 0.0372 0.7328  1 As 2.08
S 0.2830 0.5559 0.2840  2 As 2.20-2.40
S 0.7116 0.9628 0.2672  1 As 2.08

=====

13.
Entry from Alexandria via LeMat-Bulk: a geometry-optimized SbAs2SBr structure (GGA-PBE).

Mass density = 5.3 g/cm³
Magnetic moment = 0.0 μB/f.u.
Energy relative to the elements, uncorrected = 0.63 eV/atom
ΔE to the lowest computed polymorph = 0 meV per atom
Crystal system = tetragonal

Unit cell a=4.9929 b=4.9929 c=4.8540 alpha=90.00 beta=90.00 gamma=90.00
With the nearest neighbours (Å) after each atom.
Sites, in units of the cell vectors:
As 0.0000 0.5000 0.0000  2 S 2.50
As 0.5000 0.0000 0.0000  2 S 2.50
Sb 0.5000 0.5000 0.5000  8 As 3.48, 4 Br 3.53
Br 0.0000 0.0000 0.5000  2 S 2.43
S 0.0000 0.0000 0.0000  2 Br 2.43, 4 As 2.50